Density functional theory data (PBE with a Hubbard U) for a geometry-optimized CrSnF2 structure.

Properties
D(E_F)	1.67	states/eV/f.u.
offset from the most stable computed form	104.2	kJ per mole of atoms
symmetry	No. 225

Geometry as POSCAR:
```
CrSnF2
1.0
0.000 3.162 3.162
3.162 0.000 3.162
3.162 3.162 0.000
Cr Sn F
1 1 2
Direct
0.000 0.000 0.000 Cr
0.500 0.500 0.500 Sn
0.250 0.250 0.250 F
0.750 0.750 0.750 F
```